1.
GeP2S after structural relaxation, computed with GGA-PBE.

Structure (CIF):
```
data_GeP2S
_chemical_formula_sum 'Ge2 P4 S2'
_space_group_name_H-M_alt 'P 1'
_space_group_IT_number 1
_cell_length_a 4.921
_cell_length_b 4.921
_cell_length_c 7.593
_cell_angle_alpha 71.09
_cell_angle_beta 71.09
_cell_angle_gamma 90.00
loop_
_space_group_symop_operation_xyz
'x,y,z'
loop_
_atom_site_label
_atom_site_fract_x
_atom_site_fract_y
_atom_site_fract_z
Ge1 0.750 0.250 0.500
S1 0.250 0.750 0.500
P1 0.148 0.625 0.250
P2 0.375 0.398 0.750
Ge2 0.000 0.000 0.000
P3 0.875 0.852 0.750
S2 0.500 0.500 0.000
P4 0.602 0.125 0.250
```

Properties
Formation energy without anion corrections = 441 meV per atom
Magnetization = 0.000 μB/atom
Calculated density = 3.4 Mg/m³
Raw total energy = -4.45 eV per atom
Space group = I-42d, No. 122
Offset from the most stable computed form = 0 meV per atom

2.
Mn2TlZnI8 after structural relaxation, computed with GGA-PBE.

Structure (CIF):
```
data_Mn2TlZnI8
_chemical_formula_sum 'Mn2 Tl1 Zn1 I8'
_space_group_name_H-M_alt 'P 1'
_space_group_IT_number 1
_cell_length_a 7.454
_cell_length_b 6.954
_cell_length_c 8.538
_cell_angle_alpha 90.00
_cell_angle_beta 90.00
_cell_angle_gamma 87.90
loop_
_space_group_symop_operation_xyz
'x,y,z'
loop_
_atom_site_label
_atom_site_fract_x
_atom_site_fract_y
_atom_site_fract_z
I1 0.163 0.755 0.221
I2 0.837 0.245 0.779
Zn1 0.000 0.000 0.000
I3 0.649 0.730 0.000
Mn1 0.500 0.500 0.760
I4 0.837 0.245 0.221
I5 0.356 0.290 0.500
I6 0.644 0.710 0.500
Mn2 0.500 0.500 0.240
I7 0.163 0.755 0.779
I8 0.351 0.270 0.000
Tl1 0.000 0.000 0.500
```

Properties
Formation energy without anion corrections = -347 meV per atom
Magnetization = 0.786 μB/atom
Calculated density = 5.2 Mg/m³
Raw total energy = -3.21 eV per atom
Space group = P2/m, No. 10